Below is a geometry-optimized CdInAu6 structure, with properties calculated at the PBE level.

mass density = 15.56 g cm⁻³
polymorph energy (0 for the lowest one) = 0.019 eV/atom
E = -3.020 eV per atom
magnetic moment = 0.0 μB/cell
energy of formation from the pure elements = -0.1049 eV per atom

Unit cell a=4.2834 b=4.2834 c=8.1946 alpha=90.00 beta=90.00 gamma=90.00
Atoms (fractional coordinates):
1 Cd 0.0000 0.0000 0.0000
2 In 0.0000 0.0000 0.5000
3 Au 0.0000 0.5000 0.2495
4 Au 0.0000 0.5000 0.7505
5 Au 0.5000 0.0000 0.2495
6 Au 0.5000 0.0000 0.7505
7 Au 0.5000 0.5000 0.0000
8 Au 0.5000 0.5000 0.5000


Below is a geometry-optimized CePr5N6 structure, with properties calculated at the PBE level.

mass density = 7.38 g cm⁻³
energy relative to the elements, uncorrected = -130 kJ/mol of atoms
E = -7.999 eV per atom
magnetic moment = 0.0 μB/cell

Unit cell a=6.3487 b=6.3487 c=6.3495 alpha=99.61 beta=99.61 gamma=119.98
Atoms (fractional coordinates):
1 Ce 0.0000 0.0000 0.0000
2 Pr 0.1657 0.8343 0.5000
3 Pr 0.3333 0.6667 0.0000
4 Pr 0.5000 0.5000 0.5000
5 Pr 0.6667 0.3333 0.0000
6 Pr 0.8343 0.1657 0.5000
7 N 0.0804 0.3992 0.2419
8 N 0.2385 0.2385 0.7568
9 N 0.3992 0.0804 0.2419
10 N 0.6008 0.9196 0.7581
11 N 0.7615 0.7615 0.2432
12 N 0.9196 0.6008 0.7581


Below is a geometry-optimized VCoRu3 structure, with properties calculated at the PBE level.

mass density = 10.45 g cm⁻³
polymorph energy (0 for the lowest one) = 0.000 eV/atom
E = -8.831 eV per atom
magnetic moment = 0.0 μB/cell
energy of formation from the pure elements = -0.0204 eV per atom

Unit cell a=9.3705 b=9.3705 c=3.7913 alpha=90.00 beta=90.00 gamma=156.76
Atoms (fractional coordinates):
1 V 0.1506 0.8494 0.7500
2 V 0.8494 0.1506 0.2500
3 Co 0.3478 0.6522 0.7500
4 Co 0.6522 0.3478 0.2500
5 Ru 0.0524 0.9476 0.2500
6 Ru 0.2510 0.7490 0.2500
7 Ru 0.4470 0.5530 0.2500
8 Ru 0.5530 0.4470 0.7500
9 Ru 0.7490 0.2510 0.7500
10 Ru 0.9476 0.0524 0.7500


Below is a geometry-optimized In3CO6 structure, with properties calculated at the PBE level.

mass density = 5.46 g cm⁻³
energy relative to the elements, uncorrected = -129 kJ/mol of atoms
E = -6.059 eV per atom
magnetic moment = 0.0 μB/cell

Unit cell a=6.8021 b=6.8021 c=6.1159 alpha=90.00 beta=90.00 gamma=103.27
Atoms (fractional coordinates):
1 In 0.0919 0.9081 0.4996
2 In 0.1936 0.3940 0.5000
3 In 0.3940 0.1936 0.0000
4 In 0.6060 0.8064 0.5000
5 In 0.8064 0.6060 0.0000
6 In 0.9081 0.0919 0.9996
7 C 0.3277 0.6723 0.0004
8 C 0.6723 0.3277 0.5004
9 O 0.1372 0.5909 0.0026
10 O 0.1653 0.1657 0.2498
11 O 0.1657 0.1653 0.7498
12 O 0.2898 0.7102 0.5018
13 O 0.4091 0.8628 0.0026
14 O 0.4524 0.5476 0.9962
15 O 0.5476 0.4524 0.4962
16 O 0.5909 0.1372 0.5026
17 O 0.7102 0.2898 0.0018
18 O 0.8343 0.8347 0.2498
19 O 0.8347 0.8343 0.7498
20 O 0.8628 0.4091 0.5026


Below is a geometry-optimized MgTa2Cl structure, with properties calculated at the PBE level.

mass density = 9.69 g cm⁻³
polymorph energy (0 for the lowest one) = 1.054 eV/atom
energy relative to the elements, uncorrected = 96 kJ/mol of atoms
E = -5.793 eV per atom
magnetic moment = 0.0 μB/cell

Unit cell a=6.6125 b=6.6125 c=6.6125 alpha=90.00 beta=90.00 gamma=90.00
Atoms (fractional coordinates):
1 Mg 0.0000 0.0000 0.0000
2 Mg 0.0000 0.5000 0.5000
3 Mg 0.5000 0.0000 0.5000
4 Mg 0.5000 0.5000 0.0000
5 Ta 0.2500 0.2500 0.2500
6 Ta 0.2500 0.2500 0.7500
7 Ta 0.2500 0.7500 0.2500
8 Ta 0.2500 0.7500 0.7500
9 Ta 0.7500 0.2500 0.2500
10 Ta 0.7500 0.2500 0.7500
11 Ta 0.7500 0.7500 0.2500
12 Ta 0.7500 0.7500 0.7500
13 Cl 0.0000 0.0000 0.5000
14 Cl 0.0000 0.5000 0.0000
15 Cl 0.5000 0.0000 0.0000
16 Cl 0.5000 0.5000 0.5000


Below is a geometry-optimized SmGd2Co structure, with properties calculated at the PBE level.

mass density = 8.21 g cm⁻³
polymorph energy (0 for the lowest one) = 0.000 eV/atom
E = -10.032 eV per atom
magnetic moment = 13.4 μB/cell
energy of formation from the pure elements = -0.0350 eV per atom

Unit cell a=3.4339 b=3.4339 c=8.9853 alpha=90.00 beta=90.00 gamma=90.00
Atoms (fractional coordinates):
1 Sm 0.0000 0.0000 0.0000
2 Gd 0.5000 0.5000 0.3189
3 Gd 0.5000 0.5000 0.6811
4 Co 0.0000 0.0000 0.5000